A plane-wave DFT calculation with PBE was carried out for NaAlGe2 after structural relaxation.

Calculated values
- total moment (μB per formula unit) = 0.00
- E (eV per atom) = -3.40

Cell lengths 4.780, 4.780, 16.805 Å; angles 90.00, 90.00, 90.00 degrees
Space group I-42d (No. 122)
Symmetry-distinct sites (fractional):
Na (0.000, 0.000, 0.000) x4
Al (0.000, 0.000, 0.500) x4
Ge (0.161, 0.250, 0.625) x8